# 1
Sr2CaTlCu | PBE-GGA | relaxed

As for the energy: -11.9 eV per cell. For the theoretical density, the calculation gives 4.39 Mg/m³. Its crystal system is tetragonal. Its size of the total moment is 0.000 μB per atom. The calculation puts the density of states at the Fermi level at 0.81 states/eV/atom. Its energy of formation is -2.1 kJ/mol of atoms. Its excess energy over the best structure of this formula in the dataset is 0.008 eV/atom.

It has space group P4/mmm (No. 123), with a = 5.991 Å, b = 5.991 Å, c = 5.091 Å, α = 90.00°, β = 90.00° and γ = 90.00°. The asymmetric unit holds Sr at (0.000, 0.500, 0.000), Ca at (0.000, 0.000, 0.500), Tl at (0.500, 0.500, 0.500) and Cu at (0.500, 0.500, 0.000).

# 2
ZrTa2Cd | PBE-GGA | relaxed

As for the energy: -65.8 eV per cell. For the theoretical density, the calculation gives 11.77 Mg/m³. Its crystal system is orthorhombic. Its size of the total moment is 0.000 μB per atom. The calculation puts the density of states at the Fermi level at 1.07 states/eV/atom. Its energy of formation is 6.6 kJ/mol of atoms.

It has space group Cmm2 (No. 35), with a = 3.477 Å, b = 4.729 Å, c = 9.706 Å, α = 90.00°, β = 90.00° and γ = 90.00°. The asymmetric unit holds Zr at (0.000, 0.000, 0.000), Ta at (0.000, 0.000, 0.526), Ta at (0.000, 0.500, 0.753) and Cd at (0.000, 0.500, 0.271).

# 3
Tl2AsI2Cl4 | PBE-GGA | relaxed

As for the energy: -50.5 eV per cell. For the theoretical density, the calculation gives 5.06 Mg/m³. Its crystal system is tetragonal. Its size of the total moment is 0.000 μB per atom. As for the energy relative to the elements, uncorrected: -599 meV/atom. The calculation puts the density of states at the Fermi level at 0.51 states/eV/atom.

It has space group I4/mmm (No. 139), with a = 7.401 Å, b = 7.401 Å, c = 10.529 Å, α = 90.00°, β = 90.00° and γ = 90.00°. The asymmetric unit holds Tl at (0.000, 0.500, 0.250), As at (0.000, 0.000, 0.000), I at (0.000, 0.000, 0.264) and Cl at (0.231, 0.231, 0.000).

# 4
FeReMo | PBE-GGA | relaxed

As for the energy: -62.7 eV per cell. For the theoretical density, the calculation gives 13.01 Mg/m³. Its crystal system is tetragonal. Its size of the total moment is 0.944 μB per atom. The calculation puts the density of states at the Fermi level at 0.94 states/eV/atom. Its energy of formation is 12.6 kJ/mol of atoms. Its excess energy over the best structure of this formula in the dataset is 0.110 eV/atom.

It has space group I4mm (No. 107), with a = 3.112 Å, b = 3.112 Å, c = 8.913 Å, α = 90.00°, β = 90.00° and γ = 90.00°. The asymmetric unit holds Fe at (0.000, 0.000, 0.000), Re at (0.000, 0.000, 0.665) and Mo at (0.000, 0.000, 0.333).

# 5
Be2Ga2Sn | PBE-GGA | relaxed

As for the energy: -31.7 eV per cell. For the theoretical density, the calculation gives 5.64 Mg/m³. Its crystal system is tetragonal. Its size of the total moment is 0.000 μB per atom. The calculation puts the density of states at the Fermi level at 0.43 states/eV/atom. Its energy of formation is 31.6 kJ/mol of atoms.

It has space group P4/mbm (No. 127), with a = 6.588 Å, b = 6.588 Å, c = 3.745 Å, α = 90.00°, β = 90.00° and γ = 90.00°. The asymmetric unit holds Be at (0.115, 0.385, 0.000), Ga at (0.158, 0.658, 0.500) and Sn at (0.000, 0.000, 0.000).

# 6
Li2AsW | PBE-GGA | relaxed

As for the energy: -20.8 eV per cell. For the theoretical density, the calculation gives 7.33 Mg/m³. Its crystal system is orthorhombic. Its size of the total moment is 0.000 μB per atom. The calculation puts the density of states at the Fermi level at 0.50 states/eV/atom. Its energy of formation is 14.9 kJ/mol of atoms.

It has space group Pmm2 (No. 25), with a = 2.607 Å, b = 4.517 Å, c = 5.243 Å, α = 90.00°, β = 90.00° and γ = 90.00°. The asymmetric unit holds Li at (0.000, 0.000, 0.000), Li at (0.000, 0.500, 0.260), As at (0.500, 0.000, 0.507) and W at (0.500, 0.500, 0.752).

# 7
Y4Er2Tl3H2 | PBE-GGA | relaxed

As for the energy: -103.7 eV per cell. For the theoretical density, the calculation gives 7.91 Mg/m³. Its crystal system is tetragonal. Its size of the total moment is 0.000 μB per atom. The calculation puts the density of states at the Fermi level at 0.76 states/eV/atom.

It has space group I4/mmm (No. 139), with a = 4.736 Å, b = 4.736 Å, c = 24.441 Å, α = 90.00°, β = 90.00° and γ = 90.00°. The asymmetric unit holds Y at (0.000, 0.500, 0.085), Er at (0.000, 0.000, 0.198), Tl at (0.000, 0.000, 0.325), Tl at (0.000, 0.000, 0.500) and H at (0.000, 0.000, 0.103).

# 8
LuZrFeNi | PBE-GGA | relaxed

As for the energy: -112.9 eV per cell. For the theoretical density, the calculation gives 9.39 Mg/m³. Its crystal system is cubic. Its size of the total moment is 0.000 μB per atom. The calculation puts the density of states at the Fermi level at 0.76 states/eV/atom. Its energy of formation is -21.9 kJ/mol of atoms.

It has space group F-43m (No. 216), with a = 6.458 Å, b = 6.458 Å, c = 6.458 Å, α = 90.00°, β = 90.00° and γ = 90.00°. The asymmetric unit holds Lu at (0.000, 0.000, 0.000), Zr at (0.000, 0.000, 0.500), Fe at (0.250, 0.250, 0.750) and Ni at (0.250, 0.250, 0.250).

What is the theoretical density in the first record?
4.39 Mg/m³